[1]
The following is a GGA-PBE calculation of a relaxed structure of BaScTa2, from Alexandria.

Computed properties:
ΔE_f (eV per atom): 0.925
Relative energy among the computed polymorphs (kcal/mol of atoms): 11.40
Symmetry: I-4m2, No. 119

Cell: 5.093 5.093 5.093 Å, 120.09 120.09 89.85°
Positions (direct):
Sc  0.750  0.250  0.500
Ta  0.250  0.750  0.500
Ta  0.000  0.000  0.000
Ba  0.500  0.500  0.000



[2]
The following is a GGA-PBE calculation of a relaxed structure of LiCdSn, from Alexandria.

Computed properties:
ΔE_f (eV per atom): -0.204
Symmetry: Cm, No. 8

Cell: 4.979 4.979 3.591 Å, 68.74 68.73 58.34°
Positions (direct):
Sn  0.879  0.624  0.734
Cd  0.579  0.325  0.536
Li  0.276  0.022  0.337



[3]
The following is a GGA-PBE calculation of a relaxed structure of PuPbO5, from Alexandria.

Computed properties:
E_form (uncorrected) (eV per formula unit): -12.24
Symmetry: C2/c, No. 15

Cell: 6.818 5.949 8.407 Å, 110.87 90.00 124.96°
Site moments in Bohr magnetons follow the coordinates.
Positions (direct):
O  0.777  0.576  0.391  0.01
O  0.913  0.000  0.750  0.01
O  0.713  0.984  0.032  0.01
O  0.087  0.000  0.250  0.01
O  0.729  0.016  0.468  0.01
O  0.799  0.576  0.891  0.01
O  0.201  0.424  0.109  0.01
O  0.271  0.984  0.532  0.01
O  0.287  0.016  0.968  0.01
O  0.223  0.424  0.609  0.01
Pb  0.448  0.000  0.250  0.00
Pb  0.552  0.000  0.750  0.00
Pu  0.000  0.000  0.500  -0.08
Pu  0.000  0.000  0.000  -0.08



[4]
The following is a GGA-PBE calculation of a relaxed structure of Cs2Tl7In12, from Alexandria.

Computed properties:
ΔE_f (eV per atom): -0.009
Symmetry: P-3, No. 147

Cell: 12.589 12.589 5.013 Å, 90.00 90.00 120.00°
Positions (direct):
In  0.099  0.390  0.719
In  0.901  0.610  0.281
In  0.709  0.099  0.281
In  0.128  0.252  0.207
In  0.291  0.901  0.719
In  0.872  0.748  0.793
In  0.610  0.709  0.719
In  0.252  0.125  0.793
In  0.125  0.872  0.207
In  0.390  0.291  0.281
In  0.748  0.875  0.207
In  0.875  0.128  0.793
Tl  0.000  0.000  0.500
Tl  0.440  0.069  0.237
Tl  0.628  0.560  0.237
Tl  0.560  0.931  0.763
Tl  0.069  0.628  0.763
Tl  0.931  0.372  0.237
Tl  0.372  0.440  0.763
Cs  0.333  0.667  0.244
Cs  0.667  0.333  0.756



[5]
The following is a GGA-PBE calculation of a relaxed structure of Si3Ni, from Alexandria.

Computed properties:
E_form (uncorrected) (eV per formula unit): 0.79
Symmetry: I4/mmm, No. 139

Cell: 4.428 4.428 4.428 Å, 128.42 128.42 75.94°
Positions (direct):
Si  0.500  0.500  0.000
Si  0.250  0.750  0.500
Si  0.750  0.250  0.500
Ni  0.000  0.000  0.000



[6]
The following is a GGA-PBE calculation of a relaxed structure of Li3CaPd, from Alexandria.

Computed properties:
ΔE_f (eV per atom): -0.268
Relative energy among the computed polymorphs (kcal/mol of atoms): 0.00
Symmetry: Pm, No. 6

Cell: 6.484 4.490 7.475 Å, 90.00 69.72 90.00°
Positions (direct):
Ca  0.880  0.926  0.225
Ca  0.523  0.426  0.642
Li  0.507  0.926  0.025
Li  0.892  0.926  0.700
Li  0.264  0.427  0.066
Li  0.937  0.426  0.898
Li  0.352  0.926  0.416
Li  0.121  0.426  0.478
Pd  0.217  0.926  0.828
Pd  0.563  0.426  0.229